A plane-wave DFT calculation with PBE was carried out for crystalline TlIr2Pt at its relaxed geometry.

a b c (Å): 2.893 2.893 8.125
angles (deg): 90.00 90.00 90.00
Space group P4mm (No. 99)
One atom of each set of equivalent atoms:
Tl (0.000, 0.000, 0.000) x1
Ir (0.000, 0.000, 0.489) x1
Ir (0.500, 0.500, 0.278) x1
Pt (0.500, 0.500, 0.723) x1

## Properties
Energy of formation from the pure elements in meV/atom: 320.4
Energy above the lowest structure with this stoichiometry in meV/atom: 0.0
D(E_F) in states/eV/atom: 0.91
Total energy in eV/atom: -6.2119